Run one
The following is a PBE-GGA calculation of a relaxed structure of Pr4SmTm6, from the Alexandria database. Values from VASP.

Cell and atoms, written as Quantum ESPRESSO input:
```
&SYSTEM
  ibrav = 0, nat = 11, ntyp = 3
/
ATOMIC_SPECIES
Pr 140.91 Pr.upf
Sm 150.36 Sm.upf
Tm 168.93 Tm.upf
ATOMIC_POSITIONS crystal
Pr 0.134 0.134 0.619
Pr 0.485 0.866 0.000
Pr 0.515 0.515 0.381
Pr 0.866 0.485 0.000
Sm 0.500 0.500 0.000
Tm 0.000 0.500 0.500
Tm 0.055 0.700 0.000
Tm 0.300 0.300 0.355
Tm 0.500 0.000 0.500
Tm 0.700 0.055 0.000
Tm 0.945 0.945 0.645
CELL_PARAMETERS angstrom
-3.344 3.344 8.456
3.344 -3.344 8.456
3.344 3.344 -8.456
```

Properties
N(E_F): 1.26 states/eV/atom

Run two
The following is a PBE-GGA calculation of a relaxed structure of Pr4SmTm6, from the Alexandria database. Values from VASP.

Cell and atoms, written as Quantum ESPRESSO input:
```
&SYSTEM
  ibrav = 0, nat = 11, ntyp = 3
/
ATOMIC_SPECIES
Pr 140.91 Pr.upf
Sm 150.36 Sm.upf
Tm 168.93 Tm.upf
ATOMIC_POSITIONS crystal
Pr 0.000 0.000 0.000
Pr 0.063 0.532 0.500
Pr 0.468 0.532 0.500
Pr 0.468 0.937 0.500
Sm 0.667 0.333 0.000
Tm 0.162 0.324 0.000
Tm 0.162 0.838 0.000
Tm 0.326 0.163 0.500
Tm 0.676 0.838 0.000
Tm 0.837 0.163 0.500
Tm 0.837 0.674 0.500
CELL_PARAMETERS angstrom
11.002 0.000 0.000
-5.501 9.528 0.000
0.000 0.000 3.526
```

Properties
N(E_F): 1.42 states/eV/atom

So which one wins? Going from most stable to least: run two, run one.

Run one
The following is a PBE-GGA calculation of a relaxed structure of PrSm6Tm, from the Alexandria database. Values from VASP.

Cell and atoms, written as Quantum ESPRESSO input:
```
&SYSTEM
  ibrav = 0, nat = 8, ntyp = 3
/
ATOMIC_SPECIES
Pr 140.91 Pr.upf
Sm 150.36 Sm.upf
Tm 168.93 Tm.upf
ATOMIC_POSITIONS crystal
Pr 0.000 0.000 0.000
Sm 0.030 0.551 0.206
Sm 0.127 0.127 0.421
Sm 0.449 0.970 0.794
Sm 0.551 0.030 0.206
Sm 0.873 0.873 0.579
Sm 0.970 0.449 0.794
Tm 0.500 0.500 0.500
CELL_PARAMETERS angstrom
4.651 -3.563 0.000
4.651 3.563 0.000
-2.343 0.000 8.888
```

Properties
N(E_F): 1.85 states/eV/atom

Run two
The following is a PBE-GGA calculation of a relaxed structure of PrSm6Tm, from the Alexandria database. Values from VASP.

Cell and atoms, written as Quantum ESPRESSO input:
```
&SYSTEM
  ibrav = 0, nat = 8, ntyp = 3
/
ATOMIC_SPECIES
Pr 140.91 Pr.upf
Sm 150.36 Sm.upf
Tm 168.93 Tm.upf
ATOMIC_POSITIONS crystal
Pr 0.000 0.000 0.000
Sm 0.000 0.500 0.254
Sm 0.000 0.500 0.746
Sm 0.500 0.000 0.254
Sm 0.500 0.000 0.746
Sm 0.500 0.500 0.000
Sm 0.500 0.500 0.500
Tm 0.000 0.000 0.500
CELL_PARAMETERS angstrom
5.121 0.000 0.000
0.000 5.121 0.000
0.000 0.000 10.231
```

Properties
N(E_F): 1.69 states/eV/atom

So which one wins? Going from most stable to least: run two, run one.

Run one
The following is a PBE-GGA calculation of a relaxed structure of PrSm6Tm2, from the Alexandria database. Values from VASP.

Cell and atoms, written as Quantum ESPRESSO input:
```
&SYSTEM
  ibrav = 0, nat = 9, ntyp = 3
/
ATOMIC_SPECIES
Pr 140.91 Pr.upf
Sm 150.36 Sm.upf
Tm 168.93 Tm.upf
ATOMIC_POSITIONS crystal
Pr 0.000 0.000 0.000
Sm 0.110 0.110 0.664
Sm 0.221 0.221 0.335
Sm 0.333 0.333 0.001
Sm 0.667 0.667 0.999
Sm 0.779 0.779 0.665
Sm 0.890 0.890 0.336
Tm 0.445 0.445 0.665
Tm 0.555 0.555 0.335
CELL_PARAMETERS angstrom
9.365 -1.806 0.000
9.365 1.806 0.000
-0.053 0.000 8.826
```

Properties
N(E_F): 1.45 states/eV/atom

Run two
The following is a PBE-GGA calculation of a relaxed structure of PrSm6Tm2, from the Alexandria database. Values from VASP.

Cell and atoms, written as Quantum ESPRESSO input:
```
&SYSTEM
  ibrav = 0, nat = 9, ntyp = 3
/
ATOMIC_SPECIES
Pr 140.91 Pr.upf
Sm 150.36 Sm.upf
Tm 168.93 Tm.upf
ATOMIC_POSITIONS crystal
Pr 0.000 0.000 0.000
Sm 0.188 0.188 0.713
Sm 0.188 0.622 0.711
Sm 0.378 0.812 0.289
Sm 0.622 0.188 0.711
Sm 0.812 0.378 0.289
Sm 0.812 0.812 0.287
Tm 0.334 0.334 0.220
Tm 0.666 0.666 0.780
CELL_PARAMETERS angstrom
6.552 -3.783 0.000
6.552 3.783 0.000
0.000 0.000 6.101
```

Properties
N(E_F): 1.53 states/eV/atom

So which one wins? Going from most stable to least: run one, run two.